Record 1
DFT (GGA-PBE) results for an optimized crystal structure of ZrMo2Br.

Cell and atoms, written as CIF:
```
data_ZrMo2Br
_chemical_formula_sum 'Zr2 Mo4 Br2'
_cell_length_a 3.343
_cell_length_b 5.184
_cell_length_c 9.091
_cell_angle_alpha 90.00
_cell_angle_beta 90.00
_cell_angle_gamma 90.00
_space_group_name_H-M_alt 'C m m 2'
_space_group_IT_number 35
loop_
_space_group_symop_operation_xyz
'x,y,z'
'-x,-y,z'
'-x,y,z'
'x,-y,z'
'x+1/2,y+1/2,z'
'-x+1/2,-y+1/2,z'
'-x+1/2,y+1/2,z'
'x+1/2,-y+1/2,z'
loop_
_atom_site_label
_atom_site_type_symbol
_atom_site_fract_x
_atom_site_fract_y
_atom_site_fract_z
_atom_site_occupancy
Zr1 Zr 0.000 0.000 0.000 1
Mo1 Mo 0.000 0.000 0.546 1
Mo2 Mo 0.000 0.500 0.749 1
Br1 Br 0.000 0.500 0.243 1
```

Properties
- uncorrected energy (eV per formula unit) = -31.15
- V (Å³/cell) = 158
- E above lowest polymorph (meV/atom) = 68
- magnetization (μB per atom) = 0.000
- raw formation energy (eV/atom) = 0.182


Record 2
DFT (GGA-PBE) results for an optimized crystal structure of K2AlMo.

Cell and atoms, written as CIF:
```
data_K2AlMo
_chemical_formula_sum 'K6 Al3 Mo3'
_cell_length_a 3.1503
_cell_length_b 3.1503
_cell_length_c 36.6614
_cell_angle_alpha 90.00
_cell_angle_beta 90.00
_cell_angle_gamma 120.00
_space_group_name_H-M_alt 'R 3 m'
_space_group_IT_number 160
_space_group_name_Hall 'R 3 -2"'
loop_
_atom_site_label
_atom_site_type_symbol
_atom_site_fract_x
_atom_site_fract_y
_atom_site_fract_z
_atom_site_occupancy
K1 K 0.0000 0.0000 0.0000 1
K2 K 0.0000 0.0000 0.2198 1
Al1 Al 0.0000 0.0000 0.4698 1
Mo1 Mo 0.0000 0.0000 0.7477 1
```

Properties
- ΔE_f (eV per atom) = 0.90
- uncorrected energy (eV per formula unit) = -13.16
- V (Å³/cell) = 315
- magnetization (μB per atom) = 0.001


Record 3
DFT (GGA-PBE) results for an optimized crystal structure of Hg2Pd2I.

Cell and atoms, written as CIF:
```
data_Hg2Pd2I
_chemical_formula_sum 'Hg4 Pd4 I2'
_cell_length_a 3.909
_cell_length_b 3.909
_cell_length_c 16.110
_cell_angle_alpha 90.00
_cell_angle_beta 90.00
_cell_angle_gamma 90.00
_space_group_name_H-M_alt 'I 4/m m m'
_space_group_IT_number 139
_space_group_name_Hall '-I 4 2'
loop_
_atom_site_label
_atom_site_type_symbol
_atom_site_fract_x
_atom_site_fract_y
_atom_site_fract_z
_atom_site_occupancy
Hg1 Hg 0.000 0.000 0.123 1
Pd1 Pd 0.000 0.500 0.250 1
I1 I 0.000 0.000 0.500 1
```

Properties
- uncorrected energy (eV per formula unit) = -12.13
- V (Å³/cell) = 246
- E above lowest polymorph (meV/atom) = 80
- magnetization (μB per atom) = 0.000
- raw formation energy (eV/atom) = 0.082


Record 4
DFT (GGA-PBE) results for an optimized crystal structure of GeTeSe.

Cell and atoms, written as CIF:
```
data_GeTeSe
_chemical_formula_sum 'Ge2 Te2 Se2'
_cell_length_a 3.920
_cell_length_b 6.566
_cell_length_c 7.852
_cell_angle_alpha 78.47
_cell_angle_beta 76.61
_cell_angle_gamma 89.05
_space_group_name_H-M_alt 'P 1'
_space_group_IT_number 1
loop_
_space_group_symop_operation_xyz
'x,y,z'
loop_
_atom_site_label
_atom_site_type_symbol
_atom_site_fract_x
_atom_site_fract_y
_atom_site_fract_z
_atom_site_occupancy
Ge1 Ge 0.000 0.000 0.000 1
Ge2 Ge 0.191 0.537 0.715 1
Te1 Te 0.094 0.942 0.668 1
Te2 Te 0.411 0.811 0.197 1
Se1 Se 0.045 0.361 0.021 1
Se2 Se 0.779 0.435 0.554 1
```

Properties
- uncorrected energy (eV per formula unit) = -11.53
- V (Å³/cell) = 193
- E above lowest polymorph (meV/atom) = 12
- magnetization (μB per atom) = 0.000
- raw formation energy (eV/atom) = -0.094


Record 5
DFT (GGA-PBE) results for an optimized crystal structure of Os6Se7.

Cell and atoms, written as CIF:
```
data_Os6Se7
_chemical_formula_sum 'Os18 Se21'
_cell_length_a 5.7768
_cell_length_b 5.7768
_cell_length_c 25.8706
_cell_angle_alpha 90.00
_cell_angle_beta 90.00
_cell_angle_gamma 120.00
_space_group_name_H-M_alt 'R -3 m'
_space_group_IT_number 166
_space_group_name_Hall '-R 3 2"'
loop_
_atom_site_label
_atom_site_type_symbol
_atom_site_fract_x
_atom_site_fract_y
_atom_site_fract_z
_atom_site_occupancy
Os1 Os 0.0000 0.0000 0.0841 1
Os2 Os 0.0000 0.0000 0.1719 1
Os3 Os 0.0000 0.0000 0.3321 1
Se1 Se 0.0000 0.0000 0.5000 1
Se2 Se 0.0108 0.5054 0.9273 1
```

Properties
- uncorrected energy (eV per formula unit) = -75.04
- V (Å³/cell) = 748
- magnetization (μB per atom) = 0.000
- raw formation energy (eV/atom) = 1.287


Record 6
DFT (GGA-PBE) results for an optimized crystal structure of Cs2BiSeI3.

Cell and atoms, written as CIF:
```
data_Cs2BiSeI3
_chemical_formula_sum 'Cs4 Bi2 Se2 I6'
_cell_length_a 5.669
_cell_length_b 6.251
_cell_length_c 19.571
_cell_angle_alpha 90.00
_cell_angle_beta 90.00
_cell_angle_gamma 90.00
_space_group_name_H-M_alt 'I m m m'
_space_group_IT_number 71
_space_group_name_Hall '-I 2 2'
loop_
_atom_site_label
_atom_site_type_symbol
_atom_site_fract_x
_atom_site_fract_y
_atom_site_fract_z
_atom_site_occupancy
Cs1 Cs 0.000 0.000 0.136 1
Bi1 Bi 0.000 0.000 0.500 1
Se1 Se 0.000 0.500 0.000 1
I1 I 0.000 0.000 0.337 1
I2 I 0.000 0.500 0.500 1
```

Properties
- uncorrected energy (eV per formula unit) = -20.55
- V (Å³/cell) = 694
- magnetization (μB per atom) = 0.000
- raw formation energy (eV/atom) = -0.975


Record 7
DFT (GGA-PBE) results for an optimized crystal structure of CdSiO.

Cell and atoms, written as CIF:
```
data_CdSiO
_chemical_formula_sum 'Cd1 Si1 O1'
_cell_length_a 2.8136
_cell_length_b 2.8136
_cell_length_c 7.4613
_cell_angle_alpha 90.00
_cell_angle_beta 90.00
_cell_angle_gamma 120.00
_space_group_name_H-M_alt 'P 3 m 1'
_space_group_IT_number 156
loop_
_space_group_symop_operation_xyz
'x,y,z'
'-y,x-y,z'
'-x+y,-x,z'
'-y,-x,z'
'-x+y,y,z'
'x,x-y,z'
loop_
_atom_site_label
_atom_site_type_symbol
_atom_site_fract_x
_atom_site_fract_y
_atom_site_fract_z
_atom_site_occupancy
Cd1 Cd 0.0000 0.0000 0.0000 1
Si1 Si 0.6667 0.3333 0.3728 1
O1 O 0.3333 0.6667 0.5018 1
```

Properties
- uncorrected energy (eV per formula unit) = -13.44
- V (Å³/cell) = 51
- E above lowest polymorph (meV/atom) = 0
- magnetization (μB per atom) = 0.000
- raw formation energy (eV/atom) = -0.713


Record 8
DFT (GGA-PBE) results for an optimized crystal structure of NdYSn2.

Cell and atoms, written as CIF:
```
data_NdYSn2
_chemical_formula_sum 'Nd3 Y3 Sn6'
_cell_length_a 4.0790
_cell_length_b 4.0790
_cell_length_c 25.6800
_cell_angle_alpha 90.00
_cell_angle_beta 90.00
_cell_angle_gamma 120.00
_space_group_name_H-M_alt 'R -3 m'
_space_group_IT_number 166
_space_group_name_Hall '-R 3 2"'
loop_
_atom_site_label
_atom_site_type_symbol
_atom_site_fract_x
_atom_site_fract_y
_atom_site_fract_z
_atom_site_occupancy
Nd1 Nd 0.0000 0.0000 0.0000 1
Y1 Y 0.0000 0.0000 0.5000 1
Sn1 Sn 0.0000 0.0000 0.2478 1
```

Properties
- ΔE_f (eV per atom) = -0.55
- uncorrected energy (eV per formula unit) = -21.44
- V (Å³/cell) = 370
- magnetization (μB per atom) = 0.000


Record 9
DFT (GGA-PBE) results for an optimized crystal structure of MgIn2B.

Cell and atoms, written as CIF:
```
data_MgIn2B
_chemical_formula_sum 'Mg4 In8 B4'
_cell_length_a 6.485
_cell_length_b 6.485
_cell_length_c 9.987
_cell_angle_alpha 90.00
_cell_angle_beta 90.00
_cell_angle_gamma 90.00
_space_group_name_H-M_alt 'I -4 2 d'
_space_group_IT_number 122
_space_group_name_Hall 'I -4 2bw'
loop_
_atom_site_label
_atom_site_type_symbol
_atom_site_fract_x
_atom_site_fract_y
_atom_site_fract_z
_atom_site_occupancy
Mg1 Mg 0.000 0.000 0.000 1
In1 In 0.141 0.250 0.625 1
B1 B 0.000 0.000 0.500 1
```

Properties
- ΔE_f (eV per atom) = 0.64
- uncorrected energy (eV per formula unit) = -11.20
- V (Å³/cell) = 420
- E above lowest polymorph (meV/atom) = 0
- magnetization (μB per atom) = 0.000


Record 10
DFT (GGA-PBE) results for an optimized crystal structure of V2Ni5Pt.

Cell and atoms, written as CIF:
```
data_V2Ni5Pt
_chemical_formula_sum 'V4 Ni10 Pt2'
_cell_length_a 2.575
_cell_length_b 7.883
_cell_length_c 9.554
_cell_angle_alpha 90.00
_cell_angle_beta 90.00
_cell_angle_gamma 90.00
_space_group_name_H-M_alt 'I m m m'
_space_group_IT_number 71
_space_group_name_Hall '-I 2 2'
loop_
_atom_site_label
_atom_site_type_symbol
_atom_site_fract_x
_atom_site_fract_y
_atom_site_fract_z
_atom_site_occupancy
V1 V 0.000 0.000 0.246 1
Ni1 Ni 0.000 0.000 0.500 1
Ni2 Ni 0.000 0.273 0.131 1
Pt1 Pt 0.000 0.500 0.500 1
```

Properties
- ΔE_f (eV per atom) = -0.14
- uncorrected energy (eV per formula unit) = -54.32
- V (Å³/cell) = 194
- E above lowest polymorph (meV/atom) = 67
- magnetization (μB per atom) = 0.000


Record 11
DFT (GGA-PBE) results for an optimized crystal structure of YTmZnPd.

Cell and atoms, written as CIF:
```
data_YTmZnPd
_chemical_formula_sum 'Y4 Tm4 Zn4 Pd4'
_cell_length_a 7.040
_cell_length_b 7.040
_cell_length_c 7.040
_cell_angle_alpha 90.00
_cell_angle_beta 90.00
_cell_angle_gamma 90.00
_space_group_name_H-M_alt 'F -4 3 m'
_space_group_IT_number 216
_space_group_name_Hall 'F -4 2 3'
loop_
_atom_site_label
_atom_site_type_symbol
_atom_site_fract_x
_atom_site_fract_y
_atom_site_fract_z
_atom_site_occupancy
Y1 Y 0.000 0.000 0.000 1
Tm1 Tm 0.000 0.000 0.500 1
Zn1 Zn 0.250 0.250 0.750 1
Pd1 Pd 0.250 0.250 0.250 1
```

Properties
- ΔE_f (eV per atom) = -0.62
- uncorrected energy (eV per formula unit) = -19.88
- V (Å³/cell) = 349
- E above lowest polymorph (meV/atom) = 28
- magnetization (μB per atom) = 0.000


Record 12
DFT (GGA-PBE) results for an optimized crystal structure of AlCoSe2.

Cell and atoms, written as CIF:
```
data_AlCoSe2
_chemical_formula_sum 'Al2 Co2 Se4'
_cell_length_a 3.482
_cell_length_b 3.788
_cell_length_c 13.061
_cell_angle_alpha 90.00
_cell_angle_beta 90.00
_cell_angle_gamma 90.00
_space_group_name_H-M_alt 'I m m m'
_space_group_IT_number 71
_space_group_name_Hall '-I 2 2'
loop_
_atom_site_label
_atom_site_type_symbol
_atom_site_fract_x
_atom_site_fract_y
_atom_site_fract_z
_atom_site_occupancy
Al1 Al 0.000 0.000 0.000 1
Co1 Co 0.000 0.000 0.500 1
Se1 Se 0.000 0.500 0.127 1
```

Properties
- uncorrected energy (eV per formula unit) = -19.52
- V (Å³/cell) = 172
- magnetization (μB per atom) = 0.000
- raw formation energy (eV/atom) = -0.425